1.
Entry from Alexandria: a relaxed ScFeAs2 crystal (PBE).

Cell lengths 4.5279, 4.5279, 4.5279 Å; angles 60.00, 60.00, 60.00 degrees
Positions (direct):
Sc: 0.0000 0.0000 0.0000
Fe: 0.5000 0.5000 0.5000
As: 0.2500 0.2500 0.2500
As: 0.7500 0.7500 0.7500

Values from the calculation:
offset from the most stable computed form: 244 meV/atom
formation energy from the elements: -312.5 meV per atom
N(E_F): 4.00 states/eV/cell
crystal system: cubic
magnetic moment: 1.6 μB per formula unit

***

2.
Entry from Alexandria: a relaxed LiAg2Bi2 crystal (PBE).

Cell lengths 6.8975, 6.8975, 6.8975 Å; angles 138.38, 138.38, 60.32 degrees
Positions (direct):
Li: 0.0000 0.0000 0.0000
Ag: 0.3880 0.3880 0.0000
Ag: 0.6120 0.6120 0.0000
Bi: 0.2500 0.7500 0.5000
Bi: 0.7500 0.2500 0.5000

Values from the calculation:
offset from the most stable computed form: 153 meV/atom
formation energy from the elements: 117.3 meV per atom
N(E_F): 2.53 states/eV/cell
crystal system: tetragonal
magnetic moment: 0.0 μB per formula unit

***

3.
Entry from Alexandria: a relaxed BiH6Rh3 crystal (PBE).

Cell lengths 6.0849, 6.0849, 5.3755 Å; angles 90.00, 90.00, 100.90 degrees
Positions (direct):
Bi: 0.1770 0.8230 0.5000
Bi: 0.8230 0.1770 0.0000
H: 0.0355 0.5215 0.1892
H: 0.1496 0.8504 0.9786
H: 0.2591 0.2795 0.7103
H: 0.2795 0.2591 0.2103
H: 0.3861 0.6139 0.9552
H: 0.4785 0.9645 0.1892
H: 0.5215 0.0355 0.6892
H: 0.6139 0.3861 0.4552
H: 0.7205 0.7409 0.7103
H: 0.7409 0.7205 0.2103
H: 0.8504 0.1496 0.4786
H: 0.9645 0.4785 0.6892
Rh: 0.0934 0.3577 0.4424
Rh: 0.3577 0.0934 0.9424
Rh: 0.4941 0.5059 0.7023
Rh: 0.5059 0.4941 0.2023
Rh: 0.6423 0.9066 0.4424
Rh: 0.9066 0.6423 0.9424

Values from the calculation:
N(E_F): 7.55 states/eV/cell
crystal system: orthorhombic
raw total energy: -90.65 eV for the cell shown
magnetic moment: 0.0 μB per formula unit

***

4.
Entry from Alexandria: a relaxed InHRh3 crystal (PBE).

Cell lengths 4.9398, 5.6533, 4.9405 Å; angles 90.00, 110.08, 90.00 degrees
Positions (direct):
In: 0.2393 0.2500 0.2607
In: 0.7607 0.7500 0.7393
H: 0.4574 0.7500 0.0380
H: 0.5426 0.2500 0.9620
Rh: 0.2387 0.7500 0.2613
Rh: 0.2530 0.0001 0.7529
Rh: 0.2530 0.4999 0.7529
Rh: 0.7470 0.9999 0.2471
Rh: 0.7470 0.5001 0.2471
Rh: 0.7613 0.2500 0.7387

Values from the calculation:
offset from the most stable computed form: 69 meV/atom
N(E_F): 22.14 states/eV/cell
crystal system: monoclinic
magnetic moment: 0.0 μB per formula unit

***

5.
Entry from Alexandria: a relaxed LiCrAsCl2 crystal (PBE).

Cell lengths 5.2657, 5.2657, 4.7720 Å; angles 90.00, 90.00, 90.00 degrees
Positions (direct):
Li: 0.0000 0.0000 0.0000
Cr: 0.5000 0.5000 0.0000
As: 0.0000 0.0000 0.5000
Cl: 0.0000 0.5000 0.5000
Cl: 0.5000 0.0000 0.5000

Values from the calculation:
formation energy from raw total energies: 231 meV per atom
N(E_F): 2.49 states/eV/cell
crystal system: tetragonal
magnetic moment: 5.4 μB per formula unit

***

6.
Entry from Alexandria: a relaxed ZnFeIrC2 crystal (PBE).

Cell lengths 3.8812, 3.8812, 5.1027 Å; angles 90.00, 90.00, 90.00 degrees
Positions (direct):
Zn: 0.0000 0.0000 0.0000
Fe: 0.5000 0.5000 0.0000
Ir: 0.0000 0.0000 0.5000
C: 0.0000 0.5000 0.5000
C: 0.5000 0.0000 0.5000

Values from the calculation:
formation energy from the elements: 1580.4 meV per atom
N(E_F): 4.80 states/eV/cell
crystal system: tetragonal
magnetic moment: 2.9 μB per formula unit